Compound: HfNiB
Source: OQMD via LeMat-Bulk
Functional: GGA-PBE
Structure: relaxed

As for the crystal system: cubic. For the raw total energy, the calculation gives -20.501 eV for the cell shown.

a = 4.027 Å, b = 4.027 Å, c = 4.027 Å
α = 60.00°, β = 60.00°, γ = 60.00°
Fractional coordinates of all 3 atoms:
Hf 0.000 0.000 0.000
Ni 0.250 0.250 0.250
B 0.750 0.750 0.750

Compound: TmHfCS
Source: OQMD via LeMat-Bulk
Functional: GGA-PBE
Structure: relaxed

As for the crystal system: hexagonal. For the energy above the most stable polymorph in this dataset, the calculation gives 14 meV per atom. For the raw total energy, the calculation gives -66.001 eV for the cell shown.

a = 3.488 Å, b = 3.488 Å, c = 12.398 Å
α = 90.00°, β = 90.00°, γ = 120.00°
Fractional coordinates of all 8 atoms:
Tm 0.000 0.000 0.151
Tm 0.000 0.000 0.849
Hf 0.667 0.333 0.355
Hf 0.667 0.333 0.645
C 0.333 0.667 0.266
C 0.333 0.667 0.734
S 0.000 0.000 0.500
S 0.667 0.333 0.000

Compound: HfFeCuSi
Source: OQMD via LeMat-Bulk
Functional: GGA-PBE
Structure: relaxed

As for the crystal system: cubic. For the energy above the most stable polymorph in this dataset, the calculation gives 107 meV per atom. For the raw total energy, the calculation gives -27.972 eV for the cell shown.

a = 4.309 Å, b = 4.309 Å, c = 4.309 Å
α = 60.00°, β = 60.00°, γ = 60.00°
Fractional coordinates of all 4 atoms:
Hf 0.000 0.000 0.000
Fe 0.500 0.500 0.500
Cu 0.750 0.750 0.750
Si 0.250 0.250 0.250

Compound: GdReAs
Source: OQMD via LeMat-Bulk
Functional: GGA-PBE
Structure: relaxed

As for the crystal system: cubic. For the energy above the most stable polymorph in this dataset, the calculation gives 870 meV per atom. For the raw total energy, the calculation gives -18.545 eV for the cell shown.

a = 4.680 Å, b = 4.680 Å, c = 4.680 Å
α = 60.00°, β = 60.00°, γ = 60.00°
Fractional coordinates of all 3 atoms:
Gd 0.000 0.000 0.000
Re 0.250 0.250 0.250
As 0.750 0.750 0.750

Compound: GdTmI2O2
Source: OQMD via LeMat-Bulk
Functional: GGA-PBE
Structure: relaxed

As for the crystal system: tetragonal. For the raw total energy, the calculation gives -38.467 eV for the cell shown.

a = 3.918 Å, b = 3.918 Å, c = 9.283 Å
α = 90.00°, β = 90.00°, γ = 90.00°
Fractional coordinates of all 6 atoms:
Gd 0.000 0.000 0.000
Tm 0.500 0.500 0.765
I 0.000 0.000 0.560
I 0.500 0.500 0.205
O 0.000 0.500 0.877
O 0.500 0.000 0.877

Compound: TcPOsO
Source: OQMD via LeMat-Bulk
Functional: GGA-PBE
Structure: relaxed

As for the crystal system: orthorhombic. For the energy above the most stable polymorph in this dataset, the calculation gives 26 meV per atom. For the raw total energy, the calculation gives -65.688 eV for the cell shown.

a = 3.962 Å, b = 5.462 Å, c = 5.003 Å
α = 90.00°, β = 90.00°, γ = 90.00°
Fractional coordinates of all 8 atoms:
Tc 0.000 0.176 0.000
Tc 0.000 0.824 0.500
P 0.000 0.251 0.482
P 0.000 0.749 0.982
Os 0.500 0.449 0.651
Os 0.500 0.551 0.151
O 0.500 0.204 0.967
O 0.500 0.796 0.467

Compound: GdGa3Ni
Source: OQMD via LeMat-Bulk
Functional: GGA-PBE
Structure: relaxed

As for the crystal system: tetragonal. For the raw total energy, the calculation gives -22.298 eV for the cell shown.

a = 5.893 Å, b = 5.893 Å, c = 5.893 Å
α = 138.49°, β = 138.49°, γ = 60.15°
Fractional coordinates of all 5 atoms:
Gd 0.000 0.000 0.000
Ga 0.246 0.746 0.500
Ga 0.411 0.411 0.000
Ga 0.746 0.246 0.500
Ni 0.636 0.636 0.000

Compound: AcAgMo
Source: OQMD via LeMat-Bulk
Functional: GGA-PBE
Structure: relaxed

As for the crystal system: cubic. For the energy above the most stable polymorph in this dataset, the calculation gives 0 meV per atom. For the raw total energy, the calculation gives -14.975 eV for the cell shown. As for the formation enthalpy at 0 K: 934 meV/atom.

a = 5.001 Å, b = 5.001 Å, c = 5.001 Å
α = 60.00°, β = 60.00°, γ = 60.00°
Fractional coordinates of all 3 atoms:
Ac 0.000 0.000 0.000
Ag 0.250 0.250 0.250
Mo 0.500 0.500 0.500

Compound: SmEr2Si4Pd4
Source: OQMD via LeMat-Bulk
Functional: GGA-PBE
Structure: relaxed

As for the crystal system: orthorhombic. For the raw total energy, the calculation gives -66.888 eV for the cell shown.

a = 7.950 Å, b = 7.950 Å, c = 7.950 Å
α = 150.05°, β = 127.78°, γ = 61.37°
Fractional coordinates of all 11 atoms:
Sm 0.000 0.000 0.000
Er 0.375 0.875 0.500
Er 0.625 0.125 0.500
Si 0.220 0.220 0.000
Si 0.321 0.500 0.821
Si 0.679 0.500 0.179
Si 0.780 0.780 0.000
Pd 0.027 0.324 0.702
Pd 0.378 0.676 0.702
Pd 0.622 0.324 0.298
Pd 0.973 0.676 0.298

Compound: Zr4Sc2Sn3N3
Source: OQMD via LeMat-Bulk
Functional: GGA-PBE
Structure: relaxed

As for the crystal system: monoclinic. For the raw total energy, the calculation gives -195.887 eV for the cell shown.

a = 5.736 Å, b = 5.736 Å, c = 14.921 Å
α = 101.03°, β = 101.03°, γ = 60.05°
Fractional coordinates of all 24 atoms:
Zr 0.027 0.196 0.085
Zr 0.139 0.305 0.415
Zr 0.196 0.027 0.585
Zr 0.305 0.139 0.915
Zr 0.695 0.861 0.085
Zr 0.804 0.973 0.415
Zr 0.861 0.695 0.585
Zr 0.973 0.804 0.915
Sc 0.363 0.528 0.084
Sc 0.472 0.637 0.416
Sc 0.528 0.363 0.584
Sc 0.637 0.472 0.916
Sn 0.088 0.912 0.250
Sn 0.254 0.417 0.750
Sn 0.417 0.254 0.250
Sn 0.583 0.746 0.750
Sn 0.746 0.583 0.250
Sn 0.912 0.088 0.750
N 0.000 0.500 0.000
N 0.171 0.664 0.500
N 0.336 0.829 0.000
N 0.500 0.000 0.500
N 0.664 0.171 0.000
N 0.829 0.336 0.500

Compound: YGa2Co2
Source: OQMD via LeMat-Bulk
Functional: GGA-PBE
Structure: relaxed

As for the crystal system: tetragonal. For the raw total energy, the calculation gives -28.831 eV for the cell shown.

a = 5.715 Å, b = 5.715 Å, c = 5.715 Å
α = 138.47°, β = 138.47°, γ = 60.19°
Fractional coordinates of all 5 atoms:
Y 0.000 0.000 0.000
Ga 0.369 0.369 0.000
Ga 0.631 0.631 0.000
Co 0.250 0.750 0.500
Co 0.750 0.250 0.500

Compound: Ta2FeBi
Source: OQMD via LeMat-Bulk
Functional: GGA-PBE
Structure: relaxed

As for the crystal system: cubic. For the raw total energy, the calculation gives -33.564 eV for the cell shown.

a = 4.682 Å, b = 4.682 Å, c = 4.682 Å
α = 60.00°, β = 60.00°, γ = 60.00°
Fractional coordinates of all 4 atoms:
Ta 0.000 0.000 0.000
Ta 0.250 0.250 0.250
Fe 0.750 0.750 0.750
Bi 0.500 0.500 0.500

- Number 2 is which compound?
  TmHfCS

- What is the raw total energy in the eleventh record?
  -28.831 eV for the cell shown

- Number 10 is which compound?
  Zr4Sc2Sn3N3